# Re2PtSe PBE relaxed
# - D(E_F): 0.659 states/eV/atom
# - Formation energy without anion corrections: 0.7 eV per formula unit
# - Total magnetic moment: 0.000 μB per atom
# - Crystal system: tetragonal
data_Re2PtSe
_cell_length_a 2.8703
_cell_length_b 2.8703
_cell_length_c 8.0570
_cell_angle_alpha 90.00
_cell_angle_beta 90.00
_cell_angle_gamma 90.00
_space_group_name_H-M_alt 'P 4 m m'
_space_group_IT_number 99
loop_
_space_group_symop_operation_xyz
'x,y,z'
'-y,x,z'
'-x,-y,z'
'y,-x,z'
'-x,y,z'
'y,x,z'
'x,-y,z'
'-y,-x,z'
loop_
_atom_site_label
_atom_site_type_symbol
_atom_site_fract_x
_atom_site_fract_y
_atom_site_fract_z
Re1 Re 0.0000 0.0000 0.0000
Re2 Re 0.5000 0.5000 0.2268
Pt1 Pt 0.5000 0.5000 0.7706
Se1 Se 0.0000 0.0000 0.4319